Record 1
# PmZrZnCo

A geometry-optimized PmZrZnCo structure (GGA-PBE, Alexandria via LeMat-Bulk).

Calculated total energy ... -5.491 eV per atom
DOS at the Fermi energy ... 13.84 states/eV/cell
Spin magnetization ... 0.3 μB per formula unit
DFT formation energy ... -0.29 eV per formula unit
Symmetry ... F-43m, No. 216

abc: 6.818 6.818 6.818
angles: 90.00 90.00 90.00
Atoms (fractional coordinates):
Pm  0.000  0.000  0.000
Pm  0.000  0.500  0.500
Pm  0.500  0.000  0.500
Pm  0.500  0.500  0.000
Zr  0.000  0.000  0.500
Zr  0.000  0.500  0.000
Zr  0.500  0.000  0.000
Zr  0.500  0.500  0.500
Zn  0.250  0.250  0.750
Zn  0.250  0.750  0.250
Zn  0.750  0.250  0.250
Zn  0.750  0.750  0.750
Co  0.250  0.250  0.250
Co  0.250  0.750  0.750
Co  0.750  0.250  0.750
Co  0.750  0.750  0.250

=====

Record 2
# PmZrCo2

A geometry-optimized PmZrCo2 structure (GGA-PBE, Alexandria via LeMat-Bulk).

Calculated total energy ... -6.922 eV per atom
DOS at the Fermi energy ... 12.83 states/eV/cell
Spin magnetization ... 1.3 μB per formula unit
DFT formation energy ... -0.18 eV per formula unit
Symmetry ... Fm-3m, No. 225

abc: 6.638 6.638 6.638
angles: 90.00 90.00 90.00
Atoms (fractional coordinates):
Pm  0.000  0.000  0.000
Pm  0.000  0.500  0.500
Pm  0.500  0.000  0.500
Pm  0.500  0.500  0.000
Zr  0.000  0.000  0.500
Zr  0.000  0.500  0.000
Zr  0.500  0.000  0.000
Zr  0.500  0.500  0.500
Co  0.250  0.250  0.250
Co  0.250  0.250  0.750
Co  0.250  0.750  0.250
Co  0.250  0.750  0.750
Co  0.750  0.250  0.250
Co  0.750  0.250  0.750
Co  0.750  0.750  0.250
Co  0.750  0.750  0.750